[1]
## K2HoC2O6 (GGA-PBE)

Data for K2HoC2O6 after structural relaxation.

The structure in POSCAR format:
```
K2HoC2O6
1.0
5.513 0.000 0.000
-2.756 4.774 0.000
0.000 0.000 7.330
K Ho C O
2 1 2 6
direct
0.333 0.667 0.308
0.667 0.333 0.692
0.000 0.000 0.000
0.333 0.667 0.842
0.667 0.333 0.158
0.197 0.394 0.834
0.197 0.803 0.834
0.394 0.197 0.166
0.606 0.803 0.834
0.803 0.197 0.166
0.803 0.606 0.166
```

Output
space-group type = P-3m1, No. 164
calculated density = 3.1 Mg/m³
formation energy from raw total energies = -43.58 kcal/mol of atoms
V = 17.54 Å³ per atom
M_tot = 0.0 μB per cell

=====

[2]
## KHoC2O6 (GGA-PBE)

Data for KHoC2O6 after structural relaxation.

The structure in POSCAR format:
```
KHoC2O6
1.0
4.230 -4.799 0.000
4.230 4.799 0.000
-2.446 0.000 6.604
K Ho C O
2 2 4 12
direct
0.119 0.881 0.750
0.881 0.119 0.250
0.409 0.591 0.250
0.591 0.409 0.750
0.143 0.398 0.752
0.398 0.143 0.252
0.602 0.857 0.748
0.857 0.602 0.248
0.058 0.590 0.265
0.207 0.259 0.623
0.259 0.207 0.123
0.300 0.535 0.900
0.410 0.942 0.235
0.465 0.700 0.600
0.535 0.300 0.400
0.590 0.058 0.765
0.700 0.465 0.100
0.741 0.793 0.877
0.793 0.741 0.377
0.942 0.410 0.735
```

Output
space-group type = C2/c, No. 15
calculated density = 4.0 Mg/m³
formation energy from raw total energies = -49.80 kcal/mol of atoms
V = 13.41 Å³ per atom
M_tot = 0.0 μB per cell

=====

[3]
## LaHo4C10 (GGA-PBE)

Data for LaHo4C10 after structural relaxation.

The structure in POSCAR format:
```
LaHo4C10
1.0
9.954 -2.627 0.000
9.954 2.627 0.000
-0.131 0.000 4.123
La Ho C
1 4 10
direct
0.000 0.000 0.000
0.204 0.204 0.209
0.399 0.399 0.410
0.601 0.601 0.590
0.796 0.796 0.791
0.088 0.088 0.483
0.129 0.129 0.733
0.281 0.281 0.680
0.322 0.322 0.935
0.479 0.479 0.874
0.521 0.521 0.126
0.678 0.678 0.065
0.719 0.719 0.320
0.871 0.871 0.267
0.912 0.912 0.517
```

Output
space-group type = C2/m, No. 12
calculated density = 7.1 Mg/m³
V = 14.37 Å³ per atom
energy of formation = -2.66 eV/f.u.
M_tot = 0.0 μB per cell

=====

[4]
## La2HoC (GGA-PBE)

Data for La2HoC after structural relaxation.

The structure in POSCAR format:
```
La2HoC
1.0
2.033 1.174 9.768
-2.033 1.174 9.768
0.000 -2.347 9.768
La Ho C
2 1 1
direct
0.071 0.071 0.071
0.929 0.929 0.929
0.500 0.500 0.500
0.000 0.000 0.000
```

Output
space-group type = R-3m, No. 166
calculated density = 5.4 Mg/m³
V = 34.96 Å³ per atom
energy of formation = 3.79 eV/f.u.
M_tot = 0.0 μB per cell

=====

What is the calculated density in the fourth record? 5.4 Mg/m³

=====

Copy entry 2 word for word.
## KHoC2O6 (GGA-PBE)

Data for KHoC2O6 after structural relaxation.

The structure in POSCAR format:
```
KHoC2O6
1.0
4.230 -4.799 0.000
4.230 4.799 0.000
-2.446 0.000 6.604
K Ho C O
2 2 4 12
direct
0.119 0.881 0.750
0.881 0.119 0.250
0.409 0.591 0.250
0.591 0.409 0.750
0.143 0.398 0.752
0.398 0.143 0.252
0.602 0.857 0.748
0.857 0.602 0.248
0.058 0.590 0.265
0.207 0.259 0.623
0.259 0.207 0.123
0.300 0.535 0.900
0.410 0.942 0.235
0.465 0.700 0.600
0.535 0.300 0.400
0.590 0.058 0.765
0.700 0.465 0.100
0.741 0.793 0.877
0.793 0.741 0.377
0.942 0.410 0.735
```

Output
space-group type = C2/c, No. 15
calculated density = 4.0 Mg/m³
formation energy from raw total energies = -49.80 kcal/mol of atoms
V = 13.41 Å³ per atom
M_tot = 0.0 μB per cell